Record 1
Compound: Y2CdBr
Source: Alexandria
Functional: PBE-GGA
Structure: optimized geometry

Results
DFT total energy (eV/atom): -4.413
Volume (Å³ per cell): 104.8
Symmetry: No. 123
Energy above the lowest structure with this stoichiometry (eV/atom): 0.092
Formation energy without anion corrections (eV/atom): -0.533

POSCAR file:
```
Y2CdBr
1.0
3.514 0.000 0.000
0.000 3.514 0.000
0.000 0.000 8.486
Y Cd Br
2 1 1
Direct
0.000 0.000 0.239 Y
0.000 0.000 0.761 Y
0.500 0.500 0.000 Cd
0.500 0.500 0.500 Br
```

***

Record 2
Compound: YCdBr2
Source: Alexandria
Functional: PBE-GGA
Structure: optimized geometry

Results
DFT total energy (eV/atom): -3.698
Volume (Å³ per cell): 154.1
Symmetry: No. 8
Energy above the lowest structure with this stoichiometry (eV/atom): 0.047
Formation energy without anion corrections (eV/atom): -1.017

POSCAR file:
```
YCdBr2
1.0
6.122 -1.919 0.000
6.122 1.919 0.000
-3.308 0.000 6.557
Y Cd Br
1 1 2
Direct
0.000 0.000 0.000 Y
0.732 0.732 0.000 Cd
0.382 0.382 0.693 Br
0.547 0.547 0.307 Br
```

***

Record 3
Compound: YCdBr2
Source: Alexandria
Functional: PBE-GGA
Structure: optimized geometry

Results
DFT total energy (eV/atom): -3.630
Volume (Å³ per cell): 144.8
Symmetry: No. 6
Energy above the lowest structure with this stoichiometry (eV/atom): 0.115
Formation energy without anion corrections (eV/atom): -0.949

POSCAR file:
```
YCdBr2
1.0
4.735 0.000 0.000
0.000 3.934 0.000
-2.333 0.000 7.775
Y Cd Br
1 1 2
Direct
0.000 0.000 0.000 Y
0.567 0.500 0.136 Cd
0.171 0.000 0.345 Br
0.870 0.500 0.737 Br
```

***

Record 4
Compound: YCd3Br
Source: Alexandria
Functional: PBE-GGA
Structure: optimized geometry

Results
DFT total energy (eV/atom): -1.802
Volume (Å³ per cell): 230.4
Symmetry: No. 221
Energy above the lowest structure with this stoichiometry (eV/atom): 0.000
Formation energy without anion corrections (eV/atom): 0.374

POSCAR file:
```
YCd3Br
1.0
6.131 0.000 0.000
0.000 6.131 0.000
0.000 0.000 6.131
Y Cd Br
1 3 1
Direct
0.000 0.000 0.000 Y
0.000 0.000 0.500 Cd
0.000 0.500 0.000 Cd
0.500 0.000 0.000 Cd
0.500 0.500 0.500 Br
```

***

Record 5
Compound: Y2CdBr
Source: Alexandria
Functional: PBE-GGA
Structure: optimized geometry

Results
DFT total energy (eV/atom): -4.359
Volume (Å³ per cell): 110.2
Symmetry: No. 65
Energy above the lowest structure with this stoichiometry (eV/atom): 0.146
Formation energy without anion corrections (eV/atom): -0.480

POSCAR file:
```
Y2CdBr
1.0
1.954 -2.920 0.000
1.954 2.920 0.000
0.000 0.000 9.664
Y Cd Br
2 1 1
Direct
0.000 0.000 0.247 Y
0.000 0.000 0.753 Y
0.500 0.500 0.500 Cd
0.500 0.500 0.000 Br
```

***

Record 6
Compound: Y2CdBr
Source: Alexandria
Functional: PBE-GGA
Structure: optimized geometry

Results
DFT total energy (eV/atom): -4.374
Volume (Å³ per cell): 111.1
Symmetry: No. 44
Energy above the lowest structure with this stoichiometry (eV/atom): 0.131
Formation energy without anion corrections (eV/atom): -0.495

POSCAR file:
```
Y2CdBr
1.0
-1.751 2.566 6.185
1.751 -2.566 6.185
1.751 2.566 -6.185
Y Cd Br
2 1 1
Direct
0.000 0.000 0.000 Y
0.755 0.255 0.500 Y
0.449 0.449 0.000 Cd
0.197 0.697 0.500 Br
```

***

Record 7
Compound: Y2CdBr
Source: Alexandria
Functional: PBE-GGA
Structure: optimized geometry

Results
DFT total energy (eV/atom): -4.323
Volume (Å³ per cell): 110.3
Symmetry: No. 71
Energy above the lowest structure with this stoichiometry (eV/atom): 0.182
Formation energy without anion corrections (eV/atom): -0.444

POSCAR file:
```
Y2CdBr
1.0
-2.185 3.017 4.182
2.185 -3.017 4.182
2.185 3.017 -4.182
Y Cd Br
2 1 1
Direct
0.231 0.231 0.000 Y
0.769 0.769 0.000 Y
0.500 0.000 0.500 Cd
0.000 0.500 0.500 Br
```

***

Record 8
Compound: YCdBr2
Source: Alexandria
Functional: PBE-GGA
Structure: optimized geometry

Results
DFT total energy (eV/atom): -3.388
Volume (Å³ per cell): 429.1
Symmetry: No. 122
Energy above the lowest structure with this stoichiometry (eV/atom): 0.358
Formation energy without anion corrections (eV/atom): -0.707

POSCAR file:
```
YCdBr2
1.0
-3.823 3.823 7.340
3.823 -3.823 7.340
3.823 3.823 -7.340
Y Cd Br
2 2 4
Direct
0.000 0.000 0.000 Y
0.750 0.250 0.500 Y
0.250 0.750 0.500 Cd
0.500 0.500 0.000 Cd
0.375 0.222 0.347 Br
0.778 0.125 0.153 Br
0.875 0.028 0.653 Br
0.972 0.625 0.847 Br
```

***

Record 9
Compound: YCdBr
Source: Alexandria
Functional: PBE-GGA
Structure: optimized geometry

Results
DFT total energy (eV/atom): -3.772
Volume (Å³ per cell): 191.2
Symmetry: No. 38
Energy above the lowest structure with this stoichiometry (eV/atom): 0.000
Formation energy without anion corrections (eV/atom): -0.755

POSCAR file:
```
YCdBr
1.0
15.837 0.000 0.000
0.000 1.866 3.234
0.000 -1.866 3.234
Y Cd Br
2 2 2
Direct
0.151 0.000 0.000 Y
0.849 0.000 0.000 Y
0.000 0.667 0.667 Cd
0.500 0.987 0.987 Cd
0.275 0.667 0.667 Br
0.725 0.667 0.667 Br
```

***

Record 10
Compound: Zn4CdBr
Source: Alexandria
Functional: PBE-GGA
Structure: optimized geometry

Results
DFT total energy (eV/atom): -1.154
Volume (Å³ per cell): 118.7
Symmetry: No. 216
Formation energy without anion corrections (eV/atom): 0.126

POSCAR file:
```
Zn4CdBr
1.0
0.000 3.900 3.900
3.900 0.000 3.900
3.900 3.900 0.000
Zn Cd Br
4 1 1
Direct
0.377 0.377 0.377 Zn
0.377 0.377 0.870 Zn
0.377 0.870 0.377 Zn
0.870 0.377 0.377 Zn
0.750 0.750 0.750 Cd
0.000 0.000 0.000 Br
```

***

Record 11
Compound: Zn2CdBr
Source: Alexandria
Functional: PBE-GGA
Structure: optimized geometry

Results
DFT total energy (eV/atom): -1.178
Volume (Å³ per cell): 90.6
Symmetry: No. 65
Energy above the lowest structure with this stoichiometry (eV/atom): 0.286
Formation energy without anion corrections (eV/atom): 0.106

POSCAR file:
```
Zn2CdBr
1.0
2.912 -4.249 0.000
2.912 4.249 0.000
0.000 0.000 3.660
Zn Cd Br
2 1 1
Direct
0.000 0.500 0.000 Zn
0.500 0.000 0.000 Zn
0.000 0.000 0.500 Cd
0.500 0.500 0.500 Br
```

***

Record 12
Compound: Zn2CdBr
Source: Alexandria
Functional: PBE-GGA
Structure: optimized geometry

Results
DFT total energy (eV/atom): -1.211
Volume (Å³ per cell): 94.1
Symmetry: No. 12
Energy above the lowest structure with this stoichiometry (eV/atom): 0.253
Formation energy without anion corrections (eV/atom): 0.073

POSCAR file:
```
Zn2CdBr
1.0
3.060 -4.279 0.000
3.060 4.279 0.000
-1.528 0.000 3.593
Zn Cd Br
2 1 1
Direct
0.000 0.500 0.000 Zn
0.500 0.000 0.000 Zn
0.000 0.000 0.500 Cd
0.500 0.500 0.500 Br
```

***

Record 13
Compound: Zn2CdBr
Source: Alexandria
Functional: PBE-GGA
Structure: optimized geometry

Results
DFT total energy (eV/atom): -1.248
Volume (Å³ per cell): 98.0
Symmetry: No. 71
Energy above the lowest structure with this stoichiometry (eV/atom): 0.216
Formation energy without anion corrections (eV/atom): 0.036

POSCAR file:
```
Zn2CdBr
1.0
-1.865 3.088 4.252
1.865 -3.088 4.252
1.865 3.088 -4.252
Zn Cd Br
2 1 1
Direct
0.247 0.247 0.000 Zn
0.753 0.753 0.000 Zn
0.000 0.500 0.500 Cd
0.500 0.000 0.500 Br
```

***

Record 14
Compound: Zn2CdBr
Source: Alexandria
Functional: PBE-GGA
Structure: optimized geometry

Results
DFT total energy (eV/atom): -1.270
Volume (Å³ per cell): 85.3
Symmetry: No. 99
Energy above the lowest structure with this stoichiometry (eV/atom): 0.194
Formation energy without anion corrections (eV/atom): 0.014

POSCAR file:
```
Zn2CdBr
1.0
3.317 0.000 0.000
0.000 3.317 0.000
0.000 0.000 7.757
Zn Cd Br
2 1 1
Direct
0.000 0.000 0.000 Zn
0.500 0.500 0.200 Zn
0.500 0.500 0.754 Cd
0.000 0.000 0.442 Br
```

***

Record 15
Compound: Zn2CdBr
Source: Alexandria
Functional: PBE-GGA
Structure: optimized geometry

Results
DFT total energy (eV/atom): -1.275
Volume (Å³ per cell): 95.3
Symmetry: No. 65
Energy above the lowest structure with this stoichiometry (eV/atom): 0.189
Formation energy without anion corrections (eV/atom): 0.009

POSCAR file:
```
Zn2CdBr
1.0
1.834 -3.138 0.000
1.834 3.138 0.000
0.000 0.000 8.279
Zn Cd Br
2 1 1
Direct
0.000 0.000 0.249 Zn
0.000 0.000 0.751 Zn
0.500 0.500 0.000 Cd
0.500 0.500 0.500 Br
```